[1]
VASP calculation (PBE) on LaNbO2 after structural relaxation.

Calculated values
Energy relative to the elements, uncorrected (meV/atom): -1516
Theoretical density (g/cm³): 8.0
Space group: Fm-3m (225)
Density of states at the Fermi level (states/eV/cell): 2.5

Cell: 4.2544 4.2544 4.2544 Å, 60.00 60.00 60.00°
Closest atoms and distances in Å follow each position.
Element x y z (fractional)
Nb (0.0000, 0.0000, 0.0000)  8 O 2.61
O (0.2500, 0.2500, 0.2500)  4 La 2.61, 4 Nb 2.61
O (0.7500, 0.7500, 0.7500)  4 Nb 2.61, 4 La 2.61
La (0.5000, 0.5000, 0.5000)  8 O 2.61


[2]
VASP calculation (PBE) on La5Nb2O12 after structural relaxation.

Calculated values
Energy relative to the elements, uncorrected (meV/atom): -3234
Theoretical density (g/cm³): 5.9
Space group: C2/m (12)
Density of states at the Fermi level (states/eV/cell): 0.6

Cell: 6.1606 7.1982 7.8958 Å, 105.82 90.00 115.34°
Closest atoms and distances in Å follow each position.
Element x y z (fractional)
La (0.3071, 0.6142, 0.6405)  7 O 2.43-2.58
La (0.3090, 0.6180, 0.1700)  7 O 2.45-2.58
La (0.0000, 0.0000, 0.5000)  6 O 2.47
La (0.6910, 0.3820, 0.8300)  7 O 2.45-2.58
La (0.6929, 0.3858, 0.3595)  7 O 2.43-2.58
Nb (0.7674, 0.0000, 0.0000)  6 O 1.99-2.15
Nb (0.2326, 0.0000, 0.0000)  6 O 1.99-2.15
O (0.0013, 0.0026, 0.1882)  2 Nb 2.06
O (0.1018, 0.6810, 0.9211)  1 Nb 1.99
O (0.5792, 0.6810, 0.9211)  1 Nb 1.99
O (0.0937, 0.6879, 0.4216)  4 La 2.43-2.47
O (0.5942, 0.6879, 0.4216)  4 La 2.43-2.47
O (0.5011, 0.0022, 0.8264)  2 Nb 2.15
O (0.4989, 0.9978, 0.1736)  2 Nb 2.15
O (0.9063, 0.3121, 0.5784)  4 La 2.43-2.47
O (0.4058, 0.3121, 0.5784)  4 La 2.43-2.47
O (0.8982, 0.3190, 0.0789)  1 Nb 1.99
O (0.4208, 0.3190, 0.0789)  1 Nb 1.99
O (0.9987, 0.9974, 0.8118)  2 Nb 2.06


[3]
VASP calculation (PBE) on LaNbO2 after structural relaxation.

Calculated values
Energy relative to the elements, uncorrected (meV/atom): -2043
Theoretical density (g/cm³): 7.0
Space group: I4_1/amd (141)
Density of states at the Fermi level (states/eV/cell): 12.9

Cell: 7.5767 7.5767 7.5767 Å, 129.89 129.89 73.58°
Closest atoms and distances in Å follow each position.
Element x y z (fractional)
La (0.3750, 0.6250, 0.2500)  6 O 2.47-2.51
La (0.3750, 0.1250, 0.7500)  6 O 2.47-2.51
La (0.3750, 0.6250, 0.7500)  6 O 2.47-2.51
La (0.8750, 0.6250, 0.2500)  6 O 2.47-2.51
Nb (0.8750, 0.1250, 0.2500)  4 O 2.18
Nb (0.8750, 0.6250, 0.7500)  4 O 2.18
Nb (0.8750, 0.1250, 0.7500)  4 O 2.18
Nb (0.3750, 0.1250, 0.2500)  4 O 2.18
O (0.1350, 0.4224, 0.7127)  2 Nb 2.18
O (0.7097, 0.4224, 0.2873)  2 Nb 2.18
O (0.1724, 0.9597, 0.7873)  2 Nb 2.18
O (0.6150, 0.8276, 0.7873)  2 Nb 2.18
O (0.1724, 0.3850, 0.2127)  2 Nb 2.18
O (0.0403, 0.8276, 0.2127)  2 Nb 2.18
O (0.5776, 0.2903, 0.7127)  2 Nb 2.18
O (0.5776, 0.8650, 0.2873)  2 Nb 2.18


[4]
VASP calculation (PBE) on La3NbO7 after structural relaxation.

Calculated values
Energy relative to the elements, uncorrected (meV/atom): -3279
Theoretical density (g/cm³): 6.1
Space group: Cmcm (63)
Density of states at the Fermi level (states/eV/cell): 0.0

Cell: 6.7794 6.7794 7.8566 Å, 90.00 90.00 111.53°
Closest atoms and distances in Å follow each position.
Element x y z (fractional)
La (0.9318, 0.4777, 0.7500)  6 O 2.34-2.52
La (0.0682, 0.5223, 0.2500)  6 O 2.34-2.52
La (0.0000, 0.0000, 0.5000)  4 O 2.45
La (0.0000, 0.0000, 0.0000)  4 O 2.45
La (0.5223, 0.0682, 0.2500)  6 O 2.34-2.52
La (0.4777, 0.9318, 0.7500)  6 O 2.34-2.52
Nb (0.5000, 0.5000, 0.0000)  6 O 2.02
Nb (0.5000, 0.5000, 0.5000)  6 O 2.02
O (0.5634, 0.5634, 0.7500)  2 Nb 2.02
O (0.4366, 0.4366, 0.2500)  2 Nb 2.02
O (0.8467, 0.1074, 0.7500)  4 La 2.34-2.45
O (0.1533, 0.8926, 0.2500)  4 La 2.34-2.45
O (0.1074, 0.8467, 0.7500)  4 La 2.34-2.45
O (0.8926, 0.1533, 0.2500)  4 La 2.34-2.45
O (0.4376, 0.1867, 0.9679)  1 Nb 2.02
O (0.5624, 0.8133, 0.4679)  1 Nb 2.02
O (0.1867, 0.4376, 0.9679)  1 Nb 2.02
O (0.8133, 0.5624, 0.4679)  1 Nb 2.02
O (0.4376, 0.1867, 0.5321)  1 Nb 2.02
O (0.5624, 0.8133, 0.0321)  1 Nb 2.02
O (0.8133, 0.5624, 0.0321)  1 Nb 2.02
O (0.1867, 0.4376, 0.5321)  1 Nb 2.02


[5]
VASP calculation (PBE) on La4Nb6O19 after structural relaxation.

Calculated values
Energy relative to the elements, uncorrected (meV/atom): -2845
Theoretical density (g/cm³): 6.1
Space group: I23 (197)
Density of states at the Fermi level (states/eV/cell): 10.0

Cell: 7.9495 7.9495 7.9495 Å, 109.47 109.47 109.47°
Closest atoms and distances in Å follow each position.
Element x y z (fractional)
La (0.0000, 0.0000, 0.6885)  7 O 2.48-2.64
La (0.0000, 0.6885, 0.0000)  7 O 2.48-2.64
La (0.3115, 0.3115, 0.3115)  7 O 2.48-2.64
La (0.6885, 0.0000, 0.0000)  7 O 2.48-2.64
Nb (0.3468, 0.5000, 0.8468)  6 O 1.99-2.11
Nb (0.6532, 0.5000, 0.1532)  6 O 1.99-2.11
Nb (0.1532, 0.6532, 0.5000)  6 O 1.99-2.11
Nb (0.8468, 0.3468, 0.5000)  6 O 1.99-2.11
Nb (0.5000, 0.8468, 0.3468)  6 O 1.99-2.11
Nb (0.5000, 0.1532, 0.6532)  6 O 1.99-2.11
O (0.6663, 0.0000, 0.6663)  2 Nb 2.08
O (0.3337, 0.0000, 0.3337)  2 Nb 2.08
O (0.3337, 0.3337, 0.0000)  2 Nb 2.08
O (0.6663, 0.6663, 0.0000)  2 Nb 2.08
O (0.0000, 0.6663, 0.6663)  2 Nb 2.08
O (0.0000, 0.3337, 0.3337)  2 Nb 2.08
O (0.0000, 0.0000, 0.0000)  4 La 2.48
O (0.2779, 0.2479, 0.6070)  2 Nb 1.99-2.11
O (0.7221, 0.3291, 0.9700)  2 Nb 1.99-2.11
O (0.6409, 0.6709, 0.3930)  2 Nb 1.99-2.11
O (0.9700, 0.7221, 0.3291)  2 Nb 1.99-2.11
O (0.3591, 0.7521, 0.0300)  2 Nb 1.99-2.11
O (0.6070, 0.2779, 0.2479)  2 Nb 1.99-2.11
O (0.0300, 0.3591, 0.7521)  2 Nb 1.99-2.11
O (0.3930, 0.6409, 0.6709)  2 Nb 1.99-2.11
O (0.7521, 0.0300, 0.3591)  2 Nb 1.99-2.11
O (0.3291, 0.9700, 0.7221)  2 Nb 1.99-2.11
O (0.2479, 0.6070, 0.2779)  2 Nb 1.99-2.11
O (0.6709, 0.3930, 0.6409)  2 Nb 1.99-2.11


[6]
VASP calculation (PBE) on LaNb3O after structural relaxation.

Calculated values
Energy relative to the elements, uncorrected (meV/atom): 2306
Theoretical density (g/cm³): 6.2
Space group: Pm-3m (221)
Density of states at the Fermi level (states/eV/cell): 5.5

Cell: 4.8815 4.8815 4.8815 Å, 90.00 90.00 90.00°
Closest atoms and distances in Å follow each position.
Element x y z (fractional)
Nb (0.0000, 0.5000, 0.0000)  2 La 2.44
Nb (0.0000, 0.0000, 0.5000)  2 La 2.44
Nb (0.5000, 0.0000, 0.0000)  2 La 2.44
O (0.5000, 0.5000, 0.5000)  12 Nb 3.45
La (0.0000, 0.0000, 0.0000)  6 Nb 2.44